1.
## Y2SnAu (PBE)

Data for Y2SnAu after structural relaxation.

For the raw total energy, the calculation gives -5.87 eV per atom.

It has space group Amm2 (No. 38), with a = 4.401 Å, b = 4.212 Å, c = 11.299 Å, α = 90.00°, β = 90.00° and γ = 90.00°. Symmetry generates all atoms from Y at (0.000, 0.000, 0.000), Y at (0.500, 0.000, 0.282), Sn at (0.500, 0.000, 0.562) and Au at (0.000, 0.000, 0.736).

2.
## Tb4InFe2Ge4 (PBE)

Data for Tb4InFe2Ge4 after structural relaxation.

For the raw total energy, the calculation gives -5.79 eV per atom.

It has space group C2/m (No. 12), with a = 15.552 Å, b = 4.223 Å, c = 7.030 Å, α = 90.00°, β = 106.98° and γ = 90.00°. Symmetry generates all atoms from Tb at (0.091, 0.000, 0.388), Tb at (0.153, 0.000, 0.941), In at (0.000, 0.500, 0.000), Fe at (0.220, 0.500, 0.629), Ge at (0.069, 0.500, 0.658) and Ge at (0.210, 0.500, 0.277).

3.
## Er2BiO4 (PBE)

Data for Er2BiO4 after structural relaxation.

For the raw total energy, the calculation gives -7.33 eV per atom.

It has space group Fd-3m (No. 227, origin choice 2), with a = 9.714 Å, b = 9.714 Å, c = 9.714 Å, α = 90.00°, β = 90.00° and γ = 90.00°. Symmetry generates all atoms from Er at (0.000, 0.000, 0.000), Bi at (0.125, 0.125, 0.625) and O at (0.019, 0.019, 0.231).

4.
## TmScTl (PBE)

Data for TmScTl after structural relaxation.

For the raw total energy, the calculation gives -4.39 eV per atom.

It has space group F-43m (No. 216), with a = 7.031 Å, b = 7.031 Å, c = 7.031 Å, α = 90.00°, β = 90.00° and γ = 90.00°. Symmetry generates all atoms from Tm at (0.000, 0.000, 0.000), Sc at (0.000, 0.000, 0.500) and Tl at (0.250, 0.250, 0.750).

5.
## KNbMo (PBE)

Data for KNbMo after structural relaxation.

For the raw total energy, the calculation gives -5.32 eV per atom.

It has space group F-43m (No. 216), with a = 6.592 Å, b = 6.592 Å, c = 6.592 Å, α = 90.00°, β = 90.00° and γ = 90.00°. Symmetry generates all atoms from K at (0.000, 0.000, 0.000), Nb at (0.000, 0.000, 0.500) and Mo at (0.250, 0.250, 0.250).

6.
## NdSm (PBE)

Data for NdSm after structural relaxation.

For the energy of formation from the pure elements, the calculation gives 3.25 eV/f.u.

It has space group F-43m (No. 216), with a = 6.638 Å, b = 6.638 Å, c = 6.638 Å, α = 90.00°, β = 90.00° and γ = 90.00°. Symmetry generates all atoms from Nd at (0.000, 0.000, 0.000) and Sm at (0.250, 0.250, 0.750).

7.
## FeBPt (PBE)

Data for FeBPt after structural relaxation.

For the raw total energy, the calculation gives -6.58 eV per atom.

It has space group F-43m (No. 216), with a = 5.479 Å, b = 5.479 Å, c = 5.479 Å, α = 90.00°, β = 90.00° and γ = 90.00°. Symmetry generates all atoms from Fe at (0.000, 0.000, 0.000), B at (0.000, 0.000, 0.500) and Pt at (0.250, 0.250, 0.750).

8.
## BaGdTe (PBE)

Data for BaGdTe after structural relaxation.

For the raw total energy, the calculation gives -3.77 eV per atom.

It has space group F-43m (No. 216), with a = 7.686 Å, b = 7.686 Å, c = 7.686 Å, α = 90.00°, β = 90.00° and γ = 90.00°. Symmetry generates all atoms from Ba at (0.000, 0.000, 0.000), Gd at (0.000, 0.000, 0.500) and Te at (0.250, 0.250, 0.250).